(1)
# Ag2IF

A crystal of Ag2IF relaxed with PBEsol (meta-GGA SCAN, Alexandria via LeMat-Bulk).

Cell lengths 7.9486, 7.9486, 7.9486 Å; angles 142.87, 142.87, 53.52 degrees
Last column: nearest neighbours and their distance in Å.
Fractional coordinates of all 8 atoms:
Ag: 0.0320 0.6250 0.9070  2 F 2.32
Ag: 0.3750 0.2820 0.4070  2 F 2.32
Ag: 0.7180 0.1250 0.0930  2 F 2.32
Ag: 0.8750 0.9680 0.5930  2 F 2.32
I: 0.2500 0.7500 0.5000  4 Ag 2.79
I: 0.5000 0.5000 0.0000  4 Ag 2.79
F: 0.0000 0.0000 0.0000  4 Ag 2.32
F: 0.7500 0.2500 0.5000  4 Ag 2.32

Formation energy without anion corrections, meV/atom: -619
Calculated density, g cm⁻³: 6.6
SG: No. 122
M_tot, μB per atom: 0.00

***

(2)
# ScOs2Cl

A crystal of ScOs2Cl relaxed with PBEsol (meta-GGA SCAN, Alexandria via LeMat-Bulk).

Cell lengths 5.9612, 5.9612, 5.9612 Å; angles 145.58, 145.58, 49.48 degrees
Last column: nearest neighbours and their distance in Å.
Fractional coordinates of all 4 atoms:
Sc: 0.0000 0.0000 0.0000  4 Cl 2.49
Os: 0.2500 0.7500 0.5000  4 Os 2.49
Os: 0.7500 0.2500 0.5000  4 Os 2.49
Cl: 0.5000 0.5000 0.0000  4 Sc 2.49

N(E_F), states/eV/f.u.: 2.83
Formation energy without anion corrections, meV/atom: 157
Calculated density, g cm⁻³: 11.4
SG: No. 139
Excess energy over the best structure of this formula in the dataset, meV per atom: 0
M_tot, μB per atom: 0.00

***

(3)
# MnPSe2

A crystal of MnPSe2 relaxed with PBEsol (meta-GGA SCAN, Alexandria via LeMat-Bulk).

Cell lengths 7.7273, 7.7273, 7.7273 Å; angles 140.60, 140.60, 56.94 degrees
Last column: nearest neighbours and their distance in Å.
Fractional coordinates of all 8 atoms:
Mn: 0.0000 0.0000 0.0000  4 Se 2.53
Mn: 0.7500 0.2500 0.5000  4 Se 2.53
P: 0.2500 0.7500 0.5000  4 Se 2.48
P: 0.5000 0.5000 0.0000  4 Se 2.48
Se: 0.1332 0.6250 0.0082  2 P 2.48, 2 Mn 2.53
Se: 0.3750 0.3832 0.5082  2 P 2.48, 2 Mn 2.53
Se: 0.6168 0.1250 0.9918  2 P 2.48, 2 Mn 2.53
Se: 0.8750 0.8668 0.4918  2 P 2.48, 2 Mn 2.53

N(E_F), states/eV/f.u.: 1.60
Formation energy without anion corrections, meV/atom: -23
Calculated density, g cm⁻³: 4.4
SG: No. 122
M_tot, μB per atom: 1.20

***

(4)
# Sr2MgCuRh

A crystal of Sr2MgCuRh relaxed with PBEsol (meta-GGA SCAN, Alexandria via LeMat-Bulk).

Cell lengths 5.5672, 5.5672, 4.9205 Å; angles 90.00, 90.00, 90.00 degrees
Last column: nearest neighbours and their distance in Å.
Fractional coordinates of all 5 atoms:
Sr: 0.0000 0.5000 0.0000  2 Rh 2.78
Sr: 0.5000 0.0000 0.0000  2 Rh 2.78
Mg: 0.0000 0.0000 0.5000  2 Rh 2.46
Cu: 0.5000 0.5000 0.5000  8 Sr 3.71, 4 Mg 3.94
Rh: 0.0000 0.0000 0.0000  2 Mg 2.46

N(E_F), states/eV/f.u.: 2.38
Calculated density, g cm⁻³: 4.0
SG: No. 123
M_tot, μB per atom: 0.00
Formation energy from the elements, meV/atom: 93.6

***

(5)
# ZnCo2Tc

A crystal of ZnCo2Tc relaxed with PBEsol (meta-GGA SCAN, Alexandria via LeMat-Bulk).

Cell lengths 2.5911, 3.4858, 5.1642 Å; angles 90.00, 90.00, 90.00 degrees
Last column: nearest neighbours and their distance in Å.
Fractional coordinates of all 4 atoms:
Zn: 0.0000 0.0000 0.0000  8 Co 2.55, 2 Tc 2.58, 2 Zn 2.59
Co: 0.5000 0.5000 0.2577  4 Co 2.50-2.66, 4 Tc 2.51, 4 Zn 2.55
Co: 0.5000 0.5000 0.7423  4 Co 2.50-2.66, 4 Tc 2.51, 4 Zn 2.55
Tc: 0.0000 0.0000 0.5000  8 Co 2.51, 2 Zn 2.58, 2 Tc 2.59

N(E_F), states/eV/f.u.: 3.92
Calculated density, g cm⁻³: 10.0
SG: No. 47
M_tot, μB per atom: 0.25
Formation energy from the elements, meV/atom: 189.1

***

(6)
# Zn2TcCl

A crystal of Zn2TcCl relaxed with PBEsol (meta-GGA SCAN, Alexandria via LeMat-Bulk).

Cell lengths 4.6535, 4.6535, 2.8568 Å; angles 90.00, 90.00, 90.00 degrees
Last column: nearest neighbours and their distance in Å.
Fractional coordinates of all 4 atoms:
Zn: 0.0000 0.5000 0.0000  4 Cl 2.73, 4 Tc 2.73, 2 Zn 2.86
Zn: 0.5000 0.0000 0.0000  4 Cl 2.73, 4 Tc 2.73, 2 Zn 2.86
Tc: 0.0000 0.0000 0.5000  8 Zn 2.73, 2 Tc 2.86
Cl: 0.5000 0.5000 0.5000  8 Zn 2.73, 2 Cl 2.86

N(E_F), states/eV/f.u.: 1.91
Formation energy without anion corrections, meV/atom: 327
Calculated density, g cm⁻³: 7.1
SG: No. 123
Excess energy over the best structure of this formula in the dataset, meV per atom: 23
M_tot, μB per atom: 0.41

***

(7)
# Nb3Te

A crystal of Nb3Te relaxed with PBEsol (meta-GGA SCAN, Alexandria via LeMat-Bulk).

Cell lengths 5.2358, 5.2358, 5.2358 Å; angles 90.00, 90.00, 90.00 degrees
Last column: nearest neighbours and their distance in Å.
Fractional coordinates of all 8 atoms:
Nb: 0.0000 0.2500 0.5000  2 Nb 2.62, 4 Te 2.93
Nb: 0.0000 0.7500 0.5000  2 Nb 2.62, 4 Te 2.93
Nb: 0.2500 0.5000 0.0000  2 Nb 2.62, 4 Te 2.93
Nb: 0.5000 0.0000 0.2500  2 Nb 2.62, 4 Te 2.93
Nb: 0.5000 0.0000 0.7500  2 Nb 2.62, 4 Te 2.93
Nb: 0.7500 0.5000 0.0000  2 Nb 2.62, 4 Te 2.93
Te: 0.0000 0.0000 0.0000  12 Nb 2.93
Te: 0.5000 0.5000 0.5000  12 Nb 2.93

N(E_F), states/eV/f.u.: 1.95
Formation energy without anion corrections, meV/atom: -268
Calculated density, g cm⁻³: 9.4
SG: No. 223
M_tot, μB per atom: 0.00

***

(8)
# Ca3MgP

A crystal of Ca3MgP relaxed with PBEsol (meta-GGA SCAN, Alexandria via LeMat-Bulk).

Cell lengths 5.4876, 5.4876, 5.4876 Å; angles 90.00, 90.00, 90.00 degrees
Last column: nearest neighbours and their distance in Å.
Fractional coordinates of all 5 atoms:
Ca: 0.0000 0.0000 0.5000  2 P 2.74
Ca: 0.0000 0.5000 0.0000  2 P 2.74
Ca: 0.5000 0.0000 0.0000  2 P 2.74
Mg: 0.5000 0.5000 0.5000  12 Ca 3.88
P: 0.0000 0.0000 0.0000  6 Ca 2.74

N(E_F), states/eV/f.u.: 3.40
Calculated density, g cm⁻³: 1.8
SG: No. 221
M_tot, μB per atom: 0.03
Formation energy from the elements, meV/atom: -565.3

***

(9)
# KEuC2O6

A crystal of KEuC2O6 relaxed with PBEsol (meta-GGA SCAN, Alexandria via LeMat-Bulk).

Cell lengths 6.4847, 6.4847, 6.9901 Å; angles 102.63, 102.63, 99.11 degrees
Last column: nearest neighbours and their distance in Å.
Fractional coordinates of all 20 atoms:
K: 0.1275 0.8725 0.7500  8 O 2.78-2.99
K: 0.8725 0.1275 0.2500  8 O 2.78-2.99
Eu: 0.4038 0.5962 0.2500  8 O 2.33-2.53
Eu: 0.5962 0.4038 0.7500  8 O 2.33-2.53
C: 0.1435 0.3911 0.7415  3 O 1.28-1.31
C: 0.3911 0.1435 0.2415  3 O 1.28-1.31
C: 0.6089 0.8565 0.7585  3 O 1.28-1.31
C: 0.8565 0.6089 0.2585  3 O 1.28-1.31
O: 0.0531 0.5909 0.2838  1 C 1.28
O: 0.2023 0.2461 0.6200  1 C 1.29
O: 0.2461 0.2023 0.1200  1 C 1.29
O: 0.2957 0.5280 0.8902  1 C 1.31
O: 0.4091 0.9469 0.2162  1 C 1.28
O: 0.4720 0.7043 0.6098  1 C 1.31
O: 0.5280 0.2957 0.3902  1 C 1.31
O: 0.5909 0.0531 0.7838  1 C 1.28
O: 0.7043 0.4720 0.1098  1 C 1.31
O: 0.7539 0.7977 0.8800  1 C 1.29
O: 0.7977 0.7539 0.3800  1 C 1.29
O: 0.9469 0.4091 0.7162  1 C 1.28

N(E_F), states/eV/f.u.: 2.34
Formation energy without anion corrections, meV/atom: -2120
Calculated density, g cm⁻³: 3.8
SG: No. 15
M_tot, μB per atom: 0.60

***

(10)
# BaSn2Rh

A crystal of BaSn2Rh relaxed with PBEsol (meta-GGA SCAN, Alexandria via LeMat-Bulk).

Cell lengths 5.1260, 5.1260, 5.1260 Å; angles 60.00, 60.00, 60.00 degrees
Last column: nearest neighbours and their distance in Å.
Fractional coordinates of all 4 atoms:
Ba: 0.0000 0.0000 0.0000  8 Sn 3.14
Sn: 0.2500 0.2500 0.2500  4 Ba 3.14, 4 Rh 3.14
Sn: 0.7500 0.7500 0.7500  4 Ba 3.14, 4 Rh 3.14
Rh: 0.5000 0.5000 0.5000  8 Sn 3.14

N(E_F), states/eV/f.u.: 2.09
Calculated density, g cm⁻³: 8.3
SG: No. 225
M_tot, μB per atom: 0.00
Formation energy from the elements, meV/atom: -53.1

***

(11)
# NaLa2B

A crystal of NaLa2B relaxed with PBEsol (meta-GGA SCAN, Alexandria via LeMat-Bulk).

Cell lengths 6.7462, 6.7462, 6.7462 Å; angles 106.52, 106.52, 115.55 degrees
Last column: nearest neighbours and their distance in Å.
Fractional coordinates of all 8 atoms:
Na: 0.0000 0.0000 0.0000  8 La 3.51-3.62, 2 B 3.60
Na: 0.7500 0.2500 0.5000  8 La 3.51-3.62, 2 B 3.60
La: 0.2123 0.1250 0.5873  2 B 2.57
La: 0.3750 0.7877 0.9127  2 B 2.57
La: 0.5377 0.6250 0.4127  2 B 2.57
La: 0.8750 0.4623 0.0873  2 B 2.57
B: 0.2500 0.7500 0.5000  4 La 2.57
B: 0.5000 0.5000 0.0000  4 La 2.57

N(E_F), states/eV/f.u.: 3.26
Calculated density, g cm⁻³: 4.4
SG: No. 122
M_tot, μB per atom: 0.00
Formation energy from the elements, meV/atom: 345.1

***

(12)
# Cr2Cd

A crystal of Cr2Cd relaxed with PBEsol (meta-GGA SCAN, Alexandria via LeMat-Bulk).

Cell lengths 4.2618, 4.2618, 2.6213 Å; angles 90.00, 90.00, 120.00 degrees
Last column: nearest neighbours and their distance in Å.
Fractional coordinates of all 3 atoms:
Cr: 0.3333 0.6667 0.0000  5 Cr 2.46-2.62
Cr: 0.6667 0.3333 0.0000  5 Cr 2.46-2.62
Cd: 0.0000 0.0000 0.5000  2 Cd 2.62, 12 Cr 2.79

N(E_F), states/eV/f.u.: 2.45
Calculated density, g cm⁻³: 8.7
SG: No. 191
M_tot, μB per atom: 0.00
Formation energy from the elements, meV/atom: 650.7

***

(13)
# CaMgTaRh2

A crystal of CaMgTaRh2 relaxed with PBEsol (meta-GGA SCAN, Alexandria via LeMat-Bulk).

Cell lengths 4.7074, 4.7074, 5.2895 Å; angles 90.00, 90.00, 90.00 degrees
Last column: nearest neighbours and their distance in Å.
Fractional coordinates of all 5 atoms:
Ca: 0.0000 0.0000 0.0000  2 Ta 2.64
Mg: 0.5000 0.5000 0.0000  4 Ca 3.33, 8 Rh 3.54
Ta: 0.0000 0.0000 0.5000  4 Rh 2.35
Rh: 0.0000 0.5000 0.5000  2 Ta 2.35
Rh: 0.5000 0.0000 0.5000  2 Ta 2.35

N(E_F), states/eV/f.u.: 2.63
Calculated density, g cm⁻³: 6.4
SG: No. 123
M_tot, μB per atom: 0.00
Formation energy from the elements, meV/atom: 665.6

***

(14)
# NbIn2IrCl

A crystal of NbIn2IrCl relaxed with PBEsol (meta-GGA SCAN, Alexandria via LeMat-Bulk).

Cell lengths 5.5801, 5.5801, 4.5860 Å; angles 90.00, 90.00, 90.00 degrees
Last column: nearest neighbours and their distance in Å.
Fractional coordinates of all 5 atoms:
Nb: 0.0000 0.0000 0.0000  2 Ir 2.29
In: 0.0000 0.5000 0.0000  2 Nb 2.79
In: 0.5000 0.0000 0.0000  2 Nb 2.79
Ir: 0.0000 0.0000 0.5000  2 Nb 2.29
Cl: 0.5000 0.5000 0.5000  8 In 3.61, 4 Ir 3.95

N(E_F), states/eV/f.u.: 4.19
Formation energy without anion corrections, meV/atom: 705
Calculated density, g cm⁻³: 6.4
SG: No. 123
M_tot, μB per atom: 0.13

***

(15)
# BaYW

A crystal of BaYW relaxed with PBEsol (meta-GGA SCAN, Alexandria via LeMat-Bulk).

Cell lengths 4.8950, 4.8950, 4.8950 Å; angles 60.00, 60.00, 60.00 degrees
Last column: nearest neighbours and their distance in Å.
Fractional coordinates of all 3 atoms:
Ba: 0.0000 0.0000 0.0000  4 W 3.00, 4 Y 3.00
Y: 0.7500 0.7500 0.7500  4 Ba 3.00
W: 0.2500 0.2500 0.2500  4 Ba 3.00

N(E_F), states/eV/f.u.: 2.75
Calculated density, g cm⁻³: 8.2
SG: No. 216
M_tot, μB per atom: 0.95
Formation energy from the elements, meV/atom: 2084.3

***

(16)
# V2Hg2O7

A crystal of V2Hg2O7 relaxed with PBEsol (meta-GGA SCAN, Alexandria via LeMat-Bulk).

Cell lengths 7.1586, 3.6048, 21.6045 Å; angles 90.00, 90.00, 90.00 degrees
Last column: nearest neighbours and their distance in Å.
Fractional coordinates of all 44 atoms:
V: 0.0172 0.2500 0.1190  2 O 1.67-1.69
V: 0.1996 0.7500 0.0205  2 O 1.64-1.70
V: 0.3004 0.2500 0.5205  2 O 1.64-1.70
V: 0.4828 0.7500 0.6190  2 O 1.67-1.69
V: 0.5172 0.2500 0.3810  2 O 1.67-1.69
V: 0.6996 0.7500 0.4795  2 O 1.64-1.70
V: 0.8004 0.2500 0.9795  2 O 1.64-1.70
V: 0.9828 0.7500 0.8810  2 O 1.67-1.69
Hg: 0.0279 0.2500 0.3724  4 O 2.24-2.38
Hg: 0.2321 0.2500 0.7473  2 O 2.09-2.10
Hg: 0.2679 0.7500 0.2473  2 O 2.09-2.10
Hg: 0.4721 0.7500 0.8724  4 O 2.24-2.38
Hg: 0.5279 0.2500 0.1276  4 O 2.24-2.38
Hg: 0.7321 0.2500 0.7527  2 O 2.09-2.10
Hg: 0.7679 0.7500 0.2527  2 O 2.09-2.10
Hg: 0.9721 0.7500 0.6276  4 O 2.24-2.38
O: 0.0233 0.7500 0.0950  3 V 1.88-2.05
O: 0.0234 0.7500 0.3003  2 Hg 2.09-2.10
O: 0.0982 0.2500 0.5564  1 V 1.64
O: 0.1223 0.2500 0.0290  3 V 1.89-2.08
O: 0.1482 0.7500 0.8263  1 V 1.67
O: 0.2173 0.2500 0.1607  1 V 1.69
O: 0.2432 0.7500 0.9432  1 V 1.70
O: 0.2568 0.2500 0.4432  1 V 1.70
O: 0.2827 0.7500 0.6607  1 V 1.69
O: 0.3518 0.2500 0.3263  1 V 1.67
O: 0.3777 0.7500 0.5290  3 V 1.89-2.08
O: 0.4018 0.7500 0.0564  1 V 1.64
O: 0.4767 0.2500 0.5950  3 V 1.88-2.05
O: 0.4766 0.2500 0.8003  2 Hg 2.09-2.10
O: 0.5234 0.7500 0.1997  2 Hg 2.09-2.10
O: 0.5233 0.7500 0.4050  3 V 1.88-2.05
O: 0.5982 0.2500 0.9436  1 V 1.64
O: 0.6223 0.2500 0.4710  3 V 1.89-2.08
O: 0.6482 0.7500 0.6737  1 V 1.67
O: 0.7173 0.2500 0.3393  1 V 1.69
O: 0.7432 0.7500 0.5568  1 V 1.70
O: 0.7568 0.2500 0.0568  1 V 1.70
O: 0.7827 0.7500 0.8393  1 V 1.69
O: 0.8518 0.2500 0.1737  1 V 1.67
O: 0.8777 0.7500 0.9710  3 V 1.89-2.08
O: 0.9018 0.7500 0.4436  1 V 1.64
O: 0.9766 0.2500 0.6997  2 Hg 2.09-2.10
O: 0.9767 0.2500 0.9050  3 V 1.88-2.05

N(E_F), states/eV/f.u.: 0.00
Formation energy without anion corrections, meV/atom: -1733
Calculated density, g cm⁻³: 7.3
SG: No. 62
M_tot, μB per atom: 0.00

***

(17)
# TlCu2Au2

A crystal of TlCu2Au2 relaxed with PBEsol (meta-GGA SCAN, Alexandria via LeMat-Bulk).

Cell lengths 6.5567, 6.5567, 6.5567 Å; angles 145.95, 145.95, 48.92 degrees
Last column: nearest neighbours and their distance in Å.
Fractional coordinates of all 5 atoms:
Tl: 0.0000 0.0000 0.0000  8 Cu 2.96
Cu: 0.4009 0.4009 0.0000  1 Cu 2.37, 4 Au 2.63
Cu: 0.5991 0.5991 0.0000  1 Cu 2.37, 4 Au 2.63
Au: 0.2500 0.7500 0.5000  4 Cu 2.63, 4 Au 2.71
Au: 0.7500 0.2500 0.5000  4 Cu 2.63, 4 Au 2.71

N(E_F), states/eV/f.u.: 1.62
Calculated density, g cm⁻³: 13.7
SG: No. 139
M_tot, μB per atom: 0.00
Formation energy from the elements, meV/atom: 120.1

***

(18)
# Y3CdRe

A crystal of Y3CdRe relaxed with PBEsol (meta-GGA SCAN, Alexandria via LeMat-Bulk).

Cell lengths 5.3175, 5.3175, 5.3175 Å; angles 90.00, 90.00, 90.00 degrees
Last column: nearest neighbours and their distance in Å.
Fractional coordinates of all 5 atoms:
Y: 0.0000 0.0000 0.5000  2 Re 2.66
Y: 0.0000 0.5000 0.0000  2 Re 2.66
Y: 0.5000 0.0000 0.0000  2 Re 2.66
Cd: 0.5000 0.5000 0.5000  12 Y 3.76
Re: 0.0000 0.0000 0.0000  6 Y 2.66

N(E_F), states/eV/f.u.: 5.21
Calculated density, g cm⁻³: 6.2
SG: No. 221
M_tot, μB per atom: 0.00
Formation energy from the elements, meV/atom: 164.7

***

(19)
# ZrAu2Br

A crystal of ZrAu2Br relaxed with PBEsol (meta-GGA SCAN, Alexandria via LeMat-Bulk).

Cell lengths 5.5945, 5.5945, 3.2846 Å; angles 90.00, 90.00, 123.58 degrees
Last column: nearest neighbours and their distance in Å.
Fractional coordinates of all 4 atoms:
Zr: 0.0000 0.0000 0.0000  2 Br 2.64, 4 Au 2.77
Au: 0.2268 0.7732 0.5000  2 Au 2.68, 2 Zr 2.77
Au: 0.7732 0.2268 0.5000  2 Au 2.68, 2 Zr 2.77
Br: 0.5000 0.5000 0.0000  2 Zr 2.64

N(E_F), states/eV/f.u.: 1.47
Formation energy without anion corrections, meV/atom: -479
Calculated density, g cm⁻³: 11.0
SG: No. 65
Excess energy over the best structure of this formula in the dataset, meV per atom: 0
M_tot, μB per atom: 0.00

***

(20)
# MgBOs2Pd

A crystal of MgBOs2Pd relaxed with PBEsol (meta-GGA SCAN, Alexandria via LeMat-Bulk).

Cell lengths 4.4636, 4.4636, 4.2398 Å; angles 90.00, 90.00, 90.00 degrees
Last column: nearest neighbours and their distance in Å.
Fractional coordinates of all 5 atoms:
Mg: 0.0000 0.0000 0.0000  2 Pd 2.12, 4 Os 2.23
B: 0.5000 0.5000 0.5000  8 Os 3.08, 4 Pd 3.16
Os: 0.0000 0.5000 0.0000  2 Mg 2.23
Os: 0.5000 0.0000 0.0000  2 Mg 2.23
Pd: 0.0000 0.0000 0.5000  2 Mg 2.12

N(E_F), states/eV/f.u.: 3.17
Calculated density, g cm⁻³: 10.3
SG: No. 123
M_tot, μB per atom: 0.23
Formation energy from the elements, meV/atom: 2844.9